No. 1
# PBE-GGA PrHo3Tc, optimized geometry
data_PrHo3Tc
_chemical_formula_sum 'Pr1 Ho3 Tc1'
_symmetry_space_group_name_H-M 'P 1'
_symmetry_Int_Tables_number 1
_symmetry_space_group_name_Hall 'P 1'
_cell_length_a 5.3878
_cell_length_b 5.3878
_cell_length_c 5.3878
_cell_angle_alpha 90.00
_cell_angle_beta 90.00
_cell_angle_gamma 90.00
loop_
_atom_site_label
_atom_site_type_symbol
_atom_site_fract_x
_atom_site_fract_y
_atom_site_fract_z
Pr1 Pr 0.0000 0.0000 0.0000
Ho1 Ho 0.0000 0.5000 0.5000
Ho2 Ho 0.5000 0.0000 0.5000
Ho3 Ho 0.5000 0.5000 0.0000
Tc1 Tc 0.5000 0.5000 0.5000
# total moment	0.05	μB/cell
# E above lowest polymorph	174	meV/atom
# ΔH_f (0 K)	0.538	eV per formula unit

***

No. 2
# PBE-GGA CrSbTeI2, optimized geometry
data_CrSbTeI2
_chemical_formula_sum 'Cr1 Sb1 Te1 I2'
_symmetry_space_group_name_H-M 'P 1'
_symmetry_Int_Tables_number 1
_symmetry_space_group_name_Hall 'P 1'
_cell_length_a 5.3456
_cell_length_b 5.3456
_cell_length_c 5.5397
_cell_angle_alpha 90.00
_cell_angle_beta 90.00
_cell_angle_gamma 90.00
loop_
_atom_site_label
_atom_site_type_symbol
_atom_site_fract_x
_atom_site_fract_y
_atom_site_fract_z
Cr1 Cr 0.0000 0.0000 0.0000
Sb1 Sb 0.5000 0.5000 0.5000
Te1 Te 0.0000 0.0000 0.5000
I1 I 0.0000 0.5000 0.0000
I2 I 0.5000 0.0000 0.0000
# total moment	3.79	μB/cell
# E above lowest polymorph	0	meV/atom

***

No. 3
# PBE-GGA KCoHPd2, optimized geometry
data_KCoHPd2
_chemical_formula_sum 'K1 Co1 H1 Pd2'
_symmetry_space_group_name_H-M 'P 1'
_symmetry_Int_Tables_number 1
_symmetry_space_group_name_Hall 'P 1'
_cell_length_a 5.1557
_cell_length_b 5.1557
_cell_length_c 3.1037
_cell_angle_alpha 90.00
_cell_angle_beta 90.00
_cell_angle_gamma 90.00
loop_
_atom_site_label
_atom_site_type_symbol
_atom_site_fract_x
_atom_site_fract_y
_atom_site_fract_z
K1 K 0.0000 0.0000 0.0000
Co1 Co 0.5000 0.5000 0.5000
H1 H 0.5000 0.5000 0.0000
Pd1 Pd 0.0000 0.5000 0.5000
Pd2 Pd 0.5000 0.0000 0.5000
# total moment	1.78	μB/cell
# raw total energy	-3.845	eV/atom